Record 1
Here is crystalline La2Pr2CoHg2 at its relaxed geometry from the Alexandria database. Energies are from GGA-PBE.

The structure in POSCAR format:
```
La2Pr2CoHg2
1.0
-0.542 -0.906 4.637
0.422 -6.604 -1.245
6.496 -3.487 2.516
La Pr Co Hg
2 2 1 2
Cartesian
3.939 -3.588 2.198 La
2.437 -7.408 3.710 La
-0.162 -2.147 2.000 Pr
6.538 -8.849 3.908 Pr
0.000 0.000 0.000 Co
5.018 -6.854 1.682 Hg
1.358 -4.142 4.226 Hg
```

Computed properties:
DFT total energy, eV/atom: -4.13
Crystal system: orthorhombic


Record 2
Here is crystalline RbLaCoHg2 at its relaxed geometry from the Alexandria database. Energies are from GGA-PBE.

The structure in POSCAR format:
```
RbLaCoHg2
1.0
-0.668 -1.476 5.161
-5.069 -1.536 -1.096
1.586 -4.470 -1.073
Co Hg Rb La
1 2 1 1
Cartesian
0.000 0.000 0.000 Co
-2.535 -0.768 -0.548 Hg
-0.334 -0.738 2.580 Hg
-2.076 -3.741 1.496 Rb
0.793 -2.235 -0.536 La
```

Computed properties:
DFT total energy, eV/atom: -2.86
Crystal system: tetragonal


Record 3
Here is crystalline La2CoHgRh at its relaxed geometry from the Alexandria database. Energies are from GGA-PBE.

The structure in POSCAR format:
```
La2CoHgRh
1.0
5.796 0.000 0.000
0.000 4.906 0.000
0.000 0.000 5.796
Co Rh Hg La
1 1 1 2
Cartesian
2.898 2.453 2.898 Co
0.000 2.453 0.000 Rh
0.000 0.000 0.000 Hg
0.000 0.000 2.898 La
2.898 0.000 0.000 La
```

Computed properties:
DFT total energy, eV/atom: -3.95
Crystal system: tetragonal


Record 4
Here is crystalline La6CoHg2Ru at its relaxed geometry from the Alexandria database. Energies are from GGA-PBE.

The structure in POSCAR format:
```
La6CoHg2Ru
1.0
-5.896 -3.935 2.762
3.709 -0.679 6.592
-1.209 6.884 -2.960
La Co Hg Ru
6 1 2 1
Cartesian
-2.188 3.131 4.103 La
-2.369 -0.235 6.025 La
-1.205 -0.864 2.295 La
-4.828 3.511 1.229 La
-1.023 2.502 0.374 La
1.436 -1.243 5.171 La
-7.103 2.949 -0.195 Co
-4.200 0.345 2.260 Hg
0.808 1.922 4.139 Hg
-2.300 4.576 1.720 Ru
```

Computed properties:
DFT total energy, eV/atom: -4.96
Crystal system: triclinic


Record 5
Here is crystalline La4CoHgSb at its relaxed geometry from the Alexandria database. Energies are from GGA-PBE.

The structure in POSCAR format:
```
La4CoHgSb
1.0
7.178 0.000 0.000
0.000 7.121 0.000
-3.589 0.000 8.569
La Co Hg Sb
8 2 2 2
Cartesian
3.589 1.780 7.335 La
0.000 5.340 7.257 La
0.000 5.340 1.234 La
3.589 1.780 1.312 La
1.795 3.560 4.284 La
-1.795 0.000 4.284 La
1.795 0.000 4.284 La
-1.795 3.560 4.284 La
0.000 5.340 4.213 Co
3.589 1.780 4.355 Co
0.000 1.780 1.940 Hg
3.589 5.340 6.629 Hg
3.589 5.340 1.896 Sb
0.000 1.780 6.673 Sb
```

Computed properties:
Formation energy from raw total energies, eV/atom: -0.522
Crystal system: orthorhombic


Record 6
Here is crystalline La2CoHgSb at its relaxed geometry from the Alexandria database. Energies are from GGA-PBE.

The structure in POSCAR format:
```
La2CoHgSb
1.0
-2.922 0.491 4.350
4.348 -0.283 2.953
0.478 4.914 -0.234
Sb Co Hg La
1 1 1 2
Cartesian
0.952 2.561 3.535 Sb
0.000 0.000 0.000 Co
0.239 2.457 -0.117 Hg
2.174 -0.141 1.476 La
-1.461 0.246 2.175 La
```

Computed properties:
Formation energy from raw total energies, eV/atom: -0.548
Crystal system: tetragonal


Record 7
Here is crystalline LaSc2CoHg at its relaxed geometry from the Alexandria database. Energies are from GGA-PBE.

The structure in POSCAR format:
```
LaSc2CoHg
1.0
-0.346 1.769 -4.600
0.771 -4.535 -1.802
-5.105 -0.885 0.043
Sc Co Hg La
2 1 1 1
Cartesian
0.386 -2.268 -0.901 Sc
-0.173 0.885 -2.300 Sc
0.000 0.000 0.000 Co
-2.340 -1.826 -3.179 Hg
-2.552 -0.443 0.022 La
```

Computed properties:
DFT total energy, eV/atom: -5.16
Crystal system: tetragonal


Record 8
Here is crystalline La5SmCoHg2 at its relaxed geometry from the Alexandria database. Energies are from GGA-PBE.

The structure in POSCAR format:
```
La5SmCoHg2
1.0
-3.133 1.848 -1.302
-2.311 -1.549 9.093
6.558 13.970 4.046
La Sm Co Hg
10 2 2 4
Cartesian
-3.159 -0.046 7.534 La
2.266 13.406 7.838 La
1.831 9.868 9.596 La
2.677 8.946 6.254 La
-0.942 7.897 7.740 La
1.464 8.332 2.570 La
1.061 5.578 5.364 La
-0.832 4.159 2.170 La
-2.752 2.791 4.849 La
-0.801 0.287 2.335 La
3.091 12.363 4.374 Sm
-0.958 4.077 8.091 Sm
0.307 8.176 5.130 Co
-1.972 0.175 4.992 Co
0.547 12.627 10.868 Hg
4.331 9.618 3.227 Hg
2.270 5.271 2.019 Hg
-3.995 2.996 8.130 Hg
```

Computed properties:
DFT total energy, eV/atom: -4.31
Crystal system: orthorhombic


Record 9
Here is crystalline La2Sm2CoHg2 at its relaxed geometry from the Alexandria database. Energies are from GGA-PBE.

The structure in POSCAR format:
```
La2Sm2CoHg2
1.0
-2.096 0.793 4.107
4.053 -4.350 2.904
5.294 3.112 4.763
La Sm Co Hg
2 2 1 2
Cartesian
3.617 1.210 4.275 La
3.635 -1.654 7.498 La
-0.016 -0.708 2.792 Sm
7.268 0.264 8.981 Sm
0.000 0.000 0.000 Co
6.241 -0.288 5.900 Hg
1.010 -0.156 5.874 Hg
```

Computed properties:
DFT total energy, eV/atom: -4.14
Crystal system: monoclinic


Record 10
Here is crystalline La4CoSnHg at its relaxed geometry from the Alexandria database. Energies are from GGA-PBE.

The structure in POSCAR format:
```
La4CoSnHg
1.0
-6.035 -2.335 3.285
2.785 -6.655 0.385
6.391 3.014 5.869
La Co Sn Hg
8 2 2 2
Cartesian
0.567 -1.250 8.170 La
4.961 -3.419 6.684 La
2.574 -4.726 1.369 La
-1.820 -2.557 2.855 La
1.571 -2.988 4.769 La
3.196 1.507 2.934 La
0.178 0.340 4.577 La
4.588 -1.820 3.127 La
3.734 -4.090 3.953 Co
-0.593 -1.886 5.586 Co
-0.161 -5.739 3.641 Sn
3.302 -0.237 5.898 Sn
1.470 -1.240 1.819 Hg
1.671 -4.736 7.720 Hg
```

Computed properties:
DFT total energy, eV/atom: -4.84
Crystal system: orthorhombic


Record 11
Here is crystalline LaCoSn2Hg at its relaxed geometry from the Alexandria database. Energies are from GGA-PBE.

The structure in POSCAR format:
```
LaCoSn2Hg
1.0
-2.851 0.250 4.089
-0.784 -4.923 -0.246
4.099 -0.797 2.906
Co Hg Sn La
1 1 2 1
Cartesian
0.000 0.000 0.000 Co
0.232 -2.736 3.375 Hg
-0.392 -2.462 -0.123 Sn
-1.426 0.125 2.045 Sn
2.049 -0.399 1.453 La
```

Computed properties:
DFT total energy, eV/atom: -4.41
Crystal system: tetragonal


Record 12
Here is crystalline SrLa2CoHg at its relaxed geometry from the Alexandria database. Energies are from GGA-PBE.

The structure in POSCAR format:
```
SrLa2CoHg
1.0
-2.511 -0.002 -4.547
4.446 -1.090 -2.455
-1.099 -5.851 0.608
Sr Co Hg La
1 1 1 2
Cartesian
-0.549 -2.926 0.304 Sr
0.000 0.000 0.000 Co
0.419 -3.471 -3.197 Hg
2.223 -0.545 -1.227 La
-1.255 -0.001 -2.274 La
```

Computed properties:
Crystal system: tetragonal
Energy relative to the lowest polymorph listed for this composition, meV/atom: 0


| no. | spin magnetization (μB per cell) |
| --- | --- |
| 1 | 0.00 |
| 2 | 0.00 |
| 3 | 0.11 |
| 4 | 0.00 |
| 5 | 0.00 |
| 6 | 0.00 |
| 7 | 0.00 |
| 8 | 0.00 |
| 9 | 0.00 |
| 10 | 0.00 |
| 11 | 0.00 |
| 12 | 0.00 |